A plane-wave DFT calculation with PBE-GGA was carried out for an optimized crystal structure of PaTiRu2.

* excess energy over the best structure of this formula in the dataset: 88 meV/atom
* formation energy from the elements: -0.410 eV/atom
* DOS(E_F): 5.79 states/eV per cell
* space-group type: Fm-3m, No. 225
* total magnetization: 0.01 μB per cell

```
4
Lattice="-0.5278 -3.0600 -3.4300 1.6102 -4.3112 0.4778 -2.9504 -3.5311 0.4836" Properties=species:S:1:pos:R:3 pbc="T T T"
Pa 0.0000 0.0000 0.0000
Ru -0.4670 -2.7256 -0.6172
Ru -1.4010 -8.1767 -1.8515
Ti -0.9340 -5.4511 -1.2343
```